The following is a DFT calculation (GGA-PBE) of a geometry-optimized AgMoOs2 structure.

abc: 2.711 2.711 9.533
angles: 90.00 90.00 115.91
Sites, in units of the cell vectors:
Ag 0.500 0.500 0.250
Mo 0.500 0.500 0.750
Os 0.000 0.000 0.985
Os 0.000 0.000 0.515

Computed properties:
Its calculated density is 15.4 g/cm³. The value obtained for the formation energy is 47.2 kJ/mol of atoms. The space-group type is Cmmm (65).